[1]
Compound: Mg14GaBi
Source: Alexandria via LeMat-Bulk
Functional: GGA-PBE
Structure: optimized geometry

Geometry as CIF:
```
data_Mg14GaBi
_chemical_formula_sum 'Mg14 Ga1 Bi1'
_space_group_name_H-M_alt 'P 1'
_space_group_IT_number 1
_cell_length_a 6.416
_cell_length_b 6.416
_cell_length_c 10.311
_cell_angle_alpha 90.00
_cell_angle_beta 90.00
_cell_angle_gamma 119.74
loop_
_space_group_symop_operation_xyz
'x,y,z'
loop_
_atom_site_label
_atom_site_type_symbol
_atom_site_fract_x
_atom_site_fract_y
_atom_site_fract_z
Mg1 Mg 0.165 0.835 0.753
Mg2 Mg 0.161 0.326 0.251
Ga1 Ga 0.830 0.170 0.500
Mg3 Mg 0.165 0.835 0.247
Mg4 Mg 0.668 0.332 0.745
Mg5 Mg 0.835 0.668 0.500
Mg6 Mg 0.832 0.665 0.000
Mg7 Mg 0.335 0.168 0.000
Mg8 Mg 0.833 0.167 0.000
Mg9 Mg 0.161 0.326 0.749
Mg10 Mg 0.334 0.666 0.000
Bi1 Bi 0.332 0.668 0.500
Mg11 Mg 0.668 0.332 0.255
Mg12 Mg 0.332 0.165 0.500
Mg13 Mg 0.674 0.839 0.251
Mg14 Mg 0.674 0.839 0.749
```

Offset from the most stable computed form (eV per formula unit): 0.00
Energy of formation (eV per atom): -0.028
Electronic total energy (eV per atom): -1.85
Symmetry: No. 38

---

[2]
Compound: Mg4Ga2Bi
Source: Alexandria via LeMat-Bulk
Functional: GGA-PBE
Structure: optimized geometry

Geometry as CIF:
```
data_Mg4Ga2Bi
_chemical_formula_sum 'Mg8 Ga4 Bi2'
_space_group_name_H-M_alt 'P 1'
_space_group_IT_number 1
_cell_length_a 6.593
_cell_length_b 8.898
_cell_length_c 8.895
_cell_angle_alpha 116.61
_cell_angle_beta 111.64
_cell_angle_gamma 111.88
loop_
_space_group_symop_operation_xyz
'x,y,z'
loop_
_atom_site_label
_atom_site_type_symbol
_atom_site_fract_x
_atom_site_fract_y
_atom_site_fract_z
Mg1 Mg 0.634 0.540 0.131
Mg2 Mg 0.125 0.247 0.406
Mg3 Mg 0.634 0.756 0.914
Mg4 Mg 0.125 0.755 0.913
Mg5 Mg 0.124 0.539 0.130
Ga1 Ga 0.625 0.143 0.018
Mg6 Mg 0.126 0.030 0.622
Ga2 Ga 0.625 0.892 0.268
Bi1 Bi 0.124 0.646 0.514
Mg7 Mg 0.615 0.245 0.405
Bi2 Bi 0.126 0.139 0.022
Mg8 Mg 0.617 0.030 0.622
Ga3 Ga 0.625 0.394 0.767
Ga4 Ga 0.125 0.393 0.768
```

Energy of formation (eV per atom): -0.107
Electronic total energy (eV per atom): -2.44
Symmetry: No. 1

---

[3]
Compound: MgGa2Bi
Source: Alexandria via LeMat-Bulk
Functional: GGA-PBE
Structure: optimized geometry

Geometry as CIF:
```
data_MgGa2Bi
_chemical_formula_sum 'Mg1 Ga2 Bi1'
_space_group_name_H-M_alt 'P 1'
_space_group_IT_number 1
_cell_length_a 3.648
_cell_length_b 3.648
_cell_length_c 6.907
_cell_angle_alpha 90.00
_cell_angle_beta 90.00
_cell_angle_gamma 90.00
loop_
_space_group_symop_operation_xyz
'x,y,z'
loop_
_atom_site_label
_atom_site_type_symbol
_atom_site_fract_x
_atom_site_fract_y
_atom_site_fract_z
Ga1 Ga 0.000 0.000 0.785
Bi1 Bi 0.500 0.500 0.500
Mg1 Mg 0.500 0.500 0.000
Ga2 Ga 0.000 0.000 0.215
```

Offset from the most stable computed form (eV per formula unit): 0.16
Energy of formation (eV per atom): 0.012
Electronic total energy (eV per atom): -2.87
Symmetry: No. 123

---

[4]
Compound: Mg4GaBi2
Source: Alexandria via LeMat-Bulk
Functional: GGA-PBE
Structure: optimized geometry

Geometry as CIF:
```
data_Mg4GaBi2
_chemical_formula_sum 'Mg8 Ga2 Bi4'
_space_group_name_H-M_alt 'P 1'
_space_group_IT_number 1
_cell_length_a 8.894
_cell_length_b 7.603
_cell_length_c 7.962
_cell_angle_alpha 111.57
_cell_angle_beta 117.51
_cell_angle_gamma 109.75
loop_
_space_group_symop_operation_xyz
'x,y,z'
loop_
_atom_site_label
_atom_site_type_symbol
_atom_site_fract_x
_atom_site_fract_y
_atom_site_fract_z
Bi1 Bi 0.162 0.410 0.851
Mg1 Mg 0.843 0.617 0.178
Mg2 Mg 0.732 0.097 0.795
Mg3 Mg 0.519 0.722 0.850
Mg4 Mg 0.347 0.436 0.300
Ga1 Ga 0.982 0.994 0.094
Mg5 Mg 0.015 0.884 0.736
Bi2 Bi 0.698 0.463 0.689
Mg6 Mg 0.285 0.892 0.199
Ga2 Ga 0.256 0.748 0.486
Bi3 Bi 0.491 0.137 0.014
Mg7 Mg 0.960 0.322 0.369
Mg8 Mg 0.276 0.162 0.587
Bi4 Bi 0.684 0.867 0.352
```

Energy of formation (eV per atom): -0.117
Electronic total energy (eV per atom): -2.57
Symmetry: No. 1

---

[5]
Compound: MgGaBi3
Source: Alexandria via LeMat-Bulk
Functional: GGA-PBE
Structure: optimized geometry

Geometry as CIF:
```
data_MgGaBi3
_chemical_formula_sum 'Mg1 Ga1 Bi3'
_space_group_name_H-M_alt 'P 1'
_space_group_IT_number 1
_cell_length_a 5.569
_cell_length_b 5.569
_cell_length_c 5.569
_cell_angle_alpha 90.00
_cell_angle_beta 90.00
_cell_angle_gamma 90.00
loop_
_space_group_symop_operation_xyz
'x,y,z'
loop_
_atom_site_label
_atom_site_type_symbol
_atom_site_fract_x
_atom_site_fract_y
_atom_site_fract_z
Bi1 Bi 0.000 0.500 0.000
Mg1 Mg 0.000 0.000 0.000
Ga1 Ga 0.500 0.500 0.500
Bi2 Bi 0.000 0.000 0.500
Bi3 Bi 0.500 0.000 0.000
```

Offset from the most stable computed form (eV per formula unit): 0.00
Energy of formation (eV per atom): 0.484
Electronic total energy (eV per atom): -2.77
Symmetry: No. 221

---

[6]
Compound: Mg3GaBi
Source: Alexandria via LeMat-Bulk
Functional: GGA-PBE
Structure: optimized geometry

Geometry as CIF:
```
data_Mg3GaBi
_chemical_formula_sum 'Mg6 Ga2 Bi2'
_space_group_name_H-M_alt 'P 1'
_space_group_IT_number 1
_cell_length_a 4.605
_cell_length_b 5.868
_cell_length_c 9.542
_cell_angle_alpha 90.02
_cell_angle_beta 89.99
_cell_angle_gamma 90.00
loop_
_space_group_symop_operation_xyz
'x,y,z'
loop_
_atom_site_label
_atom_site_type_symbol
_atom_site_fract_x
_atom_site_fract_y
_atom_site_fract_z
Mg1 Mg 0.626 0.002 0.731
Ga1 Ga 0.127 0.251 0.636
Mg2 Mg 0.126 0.751 0.528
Mg3 Mg 0.126 0.251 0.935
Ga2 Ga 0.126 0.752 0.827
Bi1 Bi 0.626 0.252 0.120
Mg4 Mg 0.626 0.752 0.023
Mg5 Mg 0.627 0.252 0.439
Mg6 Mg 0.627 0.502 0.731
Bi2 Bi 0.626 0.752 0.344
```

Offset from the most stable computed form (eV per formula unit): 0.12
Energy of formation (eV per atom): -0.088
Electronic total energy (eV per atom): -2.43
Symmetry: No. 25

---

[7]
Compound: Mg2GaBi2
Source: Alexandria via LeMat-Bulk
Functional: GGA-PBE
Structure: optimized geometry

Geometry as CIF:
```
data_Mg2GaBi2
_chemical_formula_sum 'Mg4 Ga2 Bi4'
_space_group_name_H-M_alt 'P 1'
_space_group_IT_number 1
_cell_length_a 8.722
_cell_length_b 8.722
_cell_length_c 3.549
_cell_angle_alpha 90.00
_cell_angle_beta 90.00
_cell_angle_gamma 90.00
loop_
_space_group_symop_operation_xyz
'x,y,z'
loop_
_atom_site_label
_atom_site_type_symbol
_atom_site_fract_x
_atom_site_fract_y
_atom_site_fract_z
Mg1 Mg 0.869 0.631 0.000
Bi1 Bi 0.668 0.832 0.500
Mg2 Mg 0.369 0.869 0.000
Mg3 Mg 0.631 0.131 0.000
Bi2 Bi 0.832 0.332 0.500
Bi3 Bi 0.168 0.668 0.500
Ga1 Ga 0.000 0.000 0.000
Bi4 Bi 0.332 0.168 0.500
Ga2 Ga 0.500 0.500 0.000
Mg4 Mg 0.131 0.369 0.000
```

Offset from the most stable computed form (eV per formula unit): 0.00
Energy of formation (eV per atom): -0.022
Electronic total energy (eV per atom): -2.82
Symmetry: No. 127

---

[8]
Compound: MgGaBi
Source: Alexandria via LeMat-Bulk
Functional: GGA-PBE
Structure: optimized geometry

Geometry as CIF:
```
data_MgGaBi
_chemical_formula_sum 'Mg2 Ga2 Bi2'
_space_group_name_H-M_alt 'P 1'
_space_group_IT_number 1
_cell_length_a 4.447
_cell_length_b 5.271
_cell_length_c 8.135
_cell_angle_alpha 67.15
_cell_angle_beta 74.14
_cell_angle_gamma 65.05
loop_
_space_group_symop_operation_xyz
'x,y,z'
loop_
_atom_site_label
_atom_site_type_symbol
_atom_site_fract_x
_atom_site_fract_y
_atom_site_fract_z
Ga1 Ga 0.453 0.737 0.356
Mg1 Mg 0.230 0.857 0.683
Bi1 Bi 0.893 0.354 0.861
Bi2 Bi 0.107 0.646 0.139
Mg2 Mg 0.770 0.143 0.317
Ga2 Ga 0.547 0.263 0.644
```

Energy of formation (eV per atom): -0.053
Electronic total energy (eV per atom): -2.89
Symmetry: No. 12

---

[9]
Compound: MgGaBi
Source: Alexandria via LeMat-Bulk
Functional: GGA-PBE
Structure: optimized geometry

Geometry as CIF:
```
data_MgGaBi
_chemical_formula_sum 'Mg1 Ga1 Bi1'
_space_group_name_H-M_alt 'P 1'
_space_group_IT_number 1
_cell_length_a 3.380
_cell_length_b 3.380
_cell_length_c 6.859
_cell_angle_alpha 104.26
_cell_angle_beta 104.26
_cell_angle_gamma 90.00
loop_
_space_group_symop_operation_xyz
'x,y,z'
loop_
_atom_site_label
_atom_site_type_symbol
_atom_site_fract_x
_atom_site_fract_y
_atom_site_fract_z
Ga1 Ga 0.316 0.316 0.633
Mg1 Mg 0.682 0.682 0.363
Bi1 Bi 0.002 0.002 0.004
```

Energy of formation (eV per atom): -0.016
Electronic total energy (eV per atom): -2.85
Symmetry: No. 107

---

[10]
Compound: Mg2Ga2Bi
Source: Alexandria via LeMat-Bulk
Functional: GGA-PBE
Structure: optimized geometry

Geometry as CIF:
```
data_Mg2Ga2Bi
_chemical_formula_sum 'Mg2 Ga2 Bi1'
_space_group_name_H-M_alt 'P 1'
_space_group_IT_number 1
_cell_length_a 4.416
_cell_length_b 4.416
_cell_length_c 6.685
_cell_angle_alpha 70.72
_cell_angle_beta 70.72
_cell_angle_gamma 90.00
loop_
_space_group_symop_operation_xyz
'x,y,z'
loop_
_atom_site_label
_atom_site_type_symbol
_atom_site_fract_x
_atom_site_fract_y
_atom_site_fract_z
Bi1 Bi 0.000 0.000 0.000
Mg1 Mg 0.750 0.250 0.500
Mg2 Mg 0.250 0.750 0.500
Ga1 Ga 0.603 0.603 0.794
Ga2 Ga 0.397 0.397 0.206
```

Offset from the most stable computed form (eV per formula unit): 0.30
Energy of formation (eV per atom): -0.020
Electronic total energy (eV per atom): -2.64
Symmetry: No. 139

---

Q: Number 4 is which compound?
A: Mg4GaBi2